An optimized crystal structure of LaHo6Tm2. Source: Alexandria, functional PBE.

a = 7.2944 Å, b = 7.2944 Å, c = 19.0512 Å
α = 90.00°, β = 90.00°, γ = 120.00°
Space group R3m (No. 160, hexagonal axes)
Symmetry-distinct sites (fractional):
La 0.0000 0.0000 0.0000 (multiplicity 3)
Ho 0.1737 0.3475 0.8830 (multiplicity 9)
Ho 0.1879 0.3759 0.0819 (multiplicity 9)
Tm 0.0000 0.0000 0.5614 (multiplicity 3)
Tm 0.0000 0.0000 0.7392 (multiplicity 3)

Calculated values
The calculation puts the total magnetization at 0.00 μB/f.u. The offset from the most stable computed form comes out at 0.3072 eV/atom. The value obtained for the formation energy from the elements is 331.3 meV per atom.